(1)
# La3Tb3Er, optimized geometry, DFT PBE
data_La3Tb3Er
_cell_length_a 9.7736
_cell_length_b 9.7736
_cell_length_c 5.8200
_cell_angle_alpha 90.00
_cell_angle_beta 90.00
_cell_angle_gamma 120.00
_symmetry_space_group_name_H-M 'P 63/m'
_symmetry_Int_Tables_number 176
_symmetry_space_group_name_Hall '-P 6c'
loop_
_atom_site_label
_atom_site_type_symbol
_atom_site_fract_x
_atom_site_fract_y
_atom_site_fract_z
_atom_site_occupancy
La1 La 0.0961 0.4729 0.2500 1
Tb1 Tb 0.0454 0.2336 0.7500 1
Er1 Er 0.3333 0.6667 0.7500 1
# ρ in g/cm³: 7.32
# V in Å³/atom: 34.4
# Energy of formation in eV per atom: 0.036
# Magnetization in Bohr magnetons per cell: 0.00
# Final energy in eV/atom: -4.712

***

(2)
# Nd12Bi6Ru, optimized geometry, DFT PBE
data_Nd12Bi6Ru
_cell_length_a 13.6357
_cell_length_b 13.6357
_cell_length_c 12.7321
_cell_angle_alpha 90.00
_cell_angle_beta 90.00
_cell_angle_gamma 120.00
_symmetry_space_group_name_H-M 'R -3'
_symmetry_Int_Tables_number 148
_symmetry_space_group_name_Hall '-R 3'
loop_
_atom_site_label
_atom_site_type_symbol
_atom_site_fract_x
_atom_site_fract_y
_atom_site_fract_z
_atom_site_occupancy
Nd1 Nd 0.0305 0.8388 0.3884 1
Nd2 Nd 0.0650 0.8739 0.8789 1
Bi1 Bi 0.0455 0.6194 0.3056 1
Ru1 Ru 0.0000 0.0000 0.0000 1
# ρ in g/cm³: 7.50
# V in Å³/atom: 36.0
# Energy of formation in eV per atom: -0.500
# Magnetization in Bohr magnetons per cell: 0.00
# Final energy in eV/atom: -5.225

***

(3)
# LiNpGaBr6, optimized geometry, DFT PBE
data_LiNpGaBr6
_cell_length_a 7.1178
_cell_length_b 7.1178
_cell_length_c 13.6895
_cell_angle_alpha 90.00
_cell_angle_beta 90.00
_cell_angle_gamma 120.00
_symmetry_space_group_name_H-M 'P -3 1 c'
_symmetry_Int_Tables_number 163
_symmetry_space_group_name_Hall '-P 3 2c'
loop_
_atom_site_label
_atom_site_type_symbol
_atom_site_fract_x
_atom_site_fract_y
_atom_site_fract_z
_atom_site_occupancy
Li1 Li 0.3333 0.6667 0.2500 1
Np1 Np 0.3333 0.6667 0.7500 1
Ga1 Ga 0.0000 0.0000 0.0000 1
Br1 Br 0.9996 0.3568 0.1345 1
# ρ in g/cm³: 4.39
# V in Å³/atom: 33.4
# Magnetization in Bohr magnetons per cell: 6.00
# Uncorrected formation energy in eV per atom: -1.154
# Final energy in eV/atom: -4.256

***

(4)
# Mg4ZnPt3, optimized geometry, DFT PBE
data_Mg4ZnPt3
_cell_length_a 6.052
_cell_length_b 6.060
_cell_length_c 14.168
_cell_angle_alpha 90.00
_cell_angle_beta 90.00
_cell_angle_gamma 90.00
_symmetry_space_group_name_H-M 'F m m m'
_symmetry_Int_Tables_number 69
_symmetry_space_group_name_Hall '-F 2 2'
loop_
_atom_site_label
_atom_site_type_symbol
_atom_site_fract_x
_atom_site_fract_y
_atom_site_fract_z
_atom_site_occupancy
Mg1 Mg 0.250 0.250 0.129 1
Zn1 Zn 0.000 0.000 0.000 1
Pt1 Pt 0.000 0.000 0.248 1
Pt2 Pt 0.000 0.000 0.500 1
# ρ in g/cm³: 9.56
# V in Å³/atom: 16.2
# Energy of formation in eV per atom: -0.705
# Magnetization in Bohr magnetons per cell: 0.00
# Final energy in eV/atom: -3.927

***

(5)
# Mg2InAuSe, optimized geometry, DFT PBE
data_Mg2InAuSe
_cell_length_a 5.216
_cell_length_b 5.216
_cell_length_c 5.341
_cell_angle_alpha 90.00
_cell_angle_beta 90.00
_cell_angle_gamma 90.00
_symmetry_space_group_name_H-M 'P 4/m m m'
_symmetry_Int_Tables_number 123
_symmetry_space_group_name_Hall '-P 4 2'
loop_
_atom_site_label
_atom_site_type_symbol
_atom_site_fract_x
_atom_site_fract_y
_atom_site_fract_z
_atom_site_occupancy
Mg1 Mg 0.000 0.500 0.000 1
In1 In 0.000 0.000 0.500 1
Au1 Au 0.500 0.500 0.000 1
Se1 Se 0.500 0.500 0.500 1
# ρ in g/cm³: 5.02
# V in Å³/atom: 29.1
# Magnetization in Bohr magnetons per cell: 0.00
# Uncorrected formation energy in eV per atom: -0.020
# Final energy in eV/atom: -2.557

***

(6)
# LiVCd2Bi, optimized geometry, DFT PBE
data_LiVCd2Bi
_cell_length_a 5.365
_cell_length_b 5.365
_cell_length_c 5.217
_cell_angle_alpha 90.00
_cell_angle_beta 90.00
_cell_angle_gamma 90.00
_symmetry_space_group_name_H-M 'P 4/m m m'
_symmetry_Int_Tables_number 123
_symmetry_space_group_name_Hall '-P 4 2'
loop_
_atom_site_label
_atom_site_type_symbol
_atom_site_fract_x
_atom_site_fract_y
_atom_site_fract_z
_atom_site_occupancy
Li1 Li 0.000 0.000 0.000 1
V1 V 0.500 0.500 0.500 1
Cd1 Cd 0.000 0.500 0.500 1
Bi1 Bi 0.500 0.500 0.000 1
# ρ in g/cm³: 5.44
# V in Å³/atom: 30.0
# Energy of formation in eV per atom: 0.358
# Magnetization in Bohr magnetons per cell: 2.46
# Final energy in eV/atom: -2.990